[1]
Density functional theory data (PBE-GGA) for an optimized crystal structure of BaReCl2.

```
data_BaReCl2
_chemical_formula_sum 'Ba1 Re1 Cl2'
_cell_length_a 9.658
_cell_length_b 9.658
_cell_length_c 9.658
_cell_angle_alpha 19.90
_cell_angle_beta 19.90
_cell_angle_gamma 19.90
_symmetry_space_group_name_H-M 'P 1'
_symmetry_Int_Tables_number 1
_symmetry_space_group_name_Hall 'P 1'
loop_
_atom_site_label
_atom_site_fract_x
_atom_site_fract_y
_atom_site_fract_z
Ba1 0.000 0.000 0.000
Re1 0.500 0.500 0.500
Cl1 0.418 0.418 0.418
Cl2 0.582 0.582 0.582
```

Calculated volume = 22.82 Å³ per atom
E = -4.432 eV per atom
Energy relative to the lowest polymorph listed for this composition = 5.28 kcal/mol of atoms
Formation energy from raw total energies = 84 meV per atom


[2]
Density functional theory data (PBE-GGA) for an optimized crystal structure of Hf4H2N.

```
data_Hf4H2N
_chemical_formula_sum 'Hf4 H2 N1'
_cell_length_a 5.913
_cell_length_b 5.913
_cell_length_c 5.913
_cell_angle_alpha 136.50
_cell_angle_beta 136.50
_cell_angle_gamma 63.20
_symmetry_space_group_name_H-M 'P 1'
_symmetry_Int_Tables_number 1
_symmetry_space_group_name_Hall 'P 1'
loop_
_atom_site_label
_atom_site_fract_x
_atom_site_fract_y
_atom_site_fract_z
Hf1 0.000 0.500 0.500
Hf2 0.228 0.228 0.000
Hf3 0.500 0.000 0.500
Hf4 0.772 0.772 0.000
H1 0.423 0.423 0.000
H2 0.577 0.577 0.000
N1 0.000 0.000 0.000
```

Calculated volume = 13.82 Å³ per atom
E = -8.336 eV per atom
Energy relative to the lowest polymorph listed for this composition = 4.58 kcal/mol of atoms


[3]
Density functional theory data (PBE-GGA) for an optimized crystal structure of Ba4Pb5Au6.

```
data_Ba4Pb5Au6
_chemical_formula_sum 'Ba8 Pb10 Au12'
_cell_length_a 11.727
_cell_length_b 11.727
_cell_length_c 17.407
_cell_angle_alpha 90.00
_cell_angle_beta 90.00
_cell_angle_gamma 156.53
_symmetry_space_group_name_H-M 'P 1'
_symmetry_Int_Tables_number 1
_symmetry_space_group_name_Hall 'P 1'
loop_
_atom_site_label
_atom_site_fract_x
_atom_site_fract_y
_atom_site_fract_z
Ba1 0.011 0.989 0.500
Ba2 0.039 0.961 0.759
Ba3 0.164 0.836 0.287
Ba4 0.181 0.819 0.932
Ba5 0.819 0.181 0.432
Ba6 0.836 0.164 0.787
Ba7 0.961 0.039 0.259
Ba8 0.989 0.011 0.000
Pb1 0.154 0.846 0.609
Pb2 0.312 0.688 0.599
Pb3 0.332 0.668 0.262
Pb4 0.357 0.643 0.962
Pb5 0.451 0.549 0.661
Pb6 0.549 0.451 0.161
Pb7 0.643 0.357 0.462
Pb8 0.668 0.332 0.762
Pb9 0.688 0.312 0.099
Pb10 0.846 0.154 0.109
Au1 0.112 0.888 0.110
Au2 0.221 0.779 0.469
Au3 0.237 0.763 0.736
Au4 0.421 0.579 0.119
Au5 0.431 0.569 0.393
Au6 0.447 0.553 0.840
Au7 0.553 0.447 0.340
Au8 0.569 0.431 0.893
Au9 0.579 0.421 0.619
Au10 0.763 0.237 0.236
Au11 0.779 0.221 0.969
Au12 0.888 0.112 0.610
```

Calculated volume = 31.78 Å³ per atom
E = -3.538 eV per atom
Formation energy from the elements = -478 meV per atom


[4]
Density functional theory data (PBE-GGA) for an optimized crystal structure of Tb2GaCu7.

```
data_Tb2GaCu7
_chemical_formula_sum 'Tb2 Ga1 Cu7'
_cell_length_a 3.850
_cell_length_b 3.850
_cell_length_c 11.057
_cell_angle_alpha 90.00
_cell_angle_beta 90.00
_cell_angle_gamma 90.00
_symmetry_space_group_name_H-M 'P 1'
_symmetry_Int_Tables_number 1
_symmetry_space_group_name_Hall 'P 1'
loop_
_atom_site_label
_atom_site_fract_x
_atom_site_fract_y
_atom_site_fract_z
Tb1 0.000 0.500 0.247
Tb2 0.500 0.000 0.753
Ga1 0.000 0.000 0.500
Cu1 0.000 0.000 0.000
Cu2 0.000 0.500 0.644
Cu3 0.000 0.500 0.863
Cu4 0.500 0.000 0.137
Cu5 0.500 0.000 0.356
Cu6 0.500 0.500 0.000
Cu7 0.500 0.500 0.500
```

Calculated volume = 16.39 Å³ per atom
E = -4.293 eV per atom
Formation energy from the elements = -197 meV per atom


[5]
Density functional theory data (PBE-GGA) for an optimized crystal structure of BaCa2OsN4.

```
data_BaCa2OsN4
_chemical_formula_sum 'Ba2 Ca4 Os2 N8'
_cell_length_a 7.748
_cell_length_b 6.451
_cell_length_c 6.058
_cell_angle_alpha 90.00
_cell_angle_beta 90.00
_cell_angle_gamma 90.00
_symmetry_space_group_name_H-M 'P 1'
_symmetry_Int_Tables_number 1
_symmetry_space_group_name_Hall 'P 1'
loop_
_atom_site_label
_atom_site_fract_x
_atom_site_fract_y
_atom_site_fract_z
Ba1 0.000 0.130 0.000
Ba2 0.500 0.870 0.500
Ca1 0.242 0.343 0.513
Ca2 0.258 0.657 0.013
Ca3 0.742 0.657 0.013
Ca4 0.758 0.343 0.513
Os1 0.000 0.812 0.524
Os2 0.500 0.188 0.024
N1 0.000 0.105 0.493
N2 0.000 0.750 0.826
N3 0.193 0.689 0.391
N4 0.307 0.311 0.891
N5 0.500 0.250 0.326
N6 0.500 0.895 0.993
N7 0.693 0.311 0.891
N8 0.807 0.689 0.391
```

Calculated volume = 18.92 Å³ per atom
E = -6.801 eV per atom
Formation energy from raw total energies = -494 meV per atom


[6]
Density functional theory data (PBE-GGA) for an optimized crystal structure of Zr2TaTc3.

```
data_Zr2TaTc3
_chemical_formula_sum 'Zr2 Ta1 Tc3'
_cell_length_a 3.245
_cell_length_b 3.245
_cell_length_c 9.838
_cell_angle_alpha 90.00
_cell_angle_beta 90.00
_cell_angle_gamma 90.00
_symmetry_space_group_name_H-M 'P 1'
_symmetry_Int_Tables_number 1
_symmetry_space_group_name_Hall 'P 1'
loop_
_atom_site_label
_atom_site_fract_x
_atom_site_fract_y
_atom_site_fract_z
Zr1 0.000 0.000 0.169
Zr2 0.000 0.000 0.831
Ta1 0.000 0.000 0.500
Tc1 0.500 0.500 0.000
Tc2 0.500 0.500 0.343
Tc3 0.500 0.500 0.657
```

Calculated volume = 17.27 Å³ per atom
E = -10.416 eV per atom
Formation energy from the elements = -408 meV per atom


[7]
Density functional theory data (PBE-GGA) for an optimized crystal structure of TbScI5.

```
data_TbScI5
_chemical_formula_sum 'Tb2 Sc2 I10'
_cell_length_a 9.582
_cell_length_b 4.043
_cell_length_c 15.360
_cell_angle_alpha 90.00
_cell_angle_beta 90.55
_cell_angle_gamma 90.00
_symmetry_space_group_name_H-M 'P 1'
_symmetry_Int_Tables_number 1
_symmetry_space_group_name_Hall 'P 1'
loop_
_atom_site_label
_atom_site_fract_x
_atom_site_fract_y
_atom_site_fract_z
Tb1 0.154 0.250 0.183
Tb2 0.846 0.750 0.817
Sc1 0.418 0.750 0.361
Sc2 0.582 0.250 0.639
I1 0.077 0.250 0.779
I2 0.190 0.250 0.385
I3 0.218 0.750 0.040
I4 0.374 0.750 0.570
I5 0.474 0.250 0.214
I6 0.526 0.750 0.786
I7 0.626 0.250 0.430
I8 0.782 0.250 0.960
I9 0.810 0.750 0.615
I10 0.923 0.750 0.221
```

Calculated volume = 42.50 Å³ per atom
E = -3.893 eV per atom
Formation energy from raw total energies = -1220 meV per atom